(1)
A plane-wave DFT calculation with PBE was carried out for a relaxed BaMg6CuO8 crystal.

Output
* excess energy over the best structure of this formula in the dataset: 0.24 eV per formula unit
* VASP energy: -5.50 eV per atom
* symmetry: P4/mmm
* uncorrected formation energy: -2.049 eV per atom

a b c (Å): 4.7087 4.7087 8.6232
angles (deg): 90.00 90.00 90.00
Last column: nearest neighbours and their distance in Å.
Positions (direct):
O: 0.5000 0.5000 0.7516  6 Mg 2.14-2.36
O: 0.0000 0.5000 0.5000  4 Mg 2.31-2.35, 2 Ba 2.35
O: 0.0000 0.0000 0.7846  1 Cu 1.86
O: 0.0000 0.5000 0.0000  2 Mg 2.01
O: 0.5000 0.5000 0.2484  6 Mg 2.14-2.36
O: 0.5000 0.0000 0.5000  4 Mg 2.31-2.35, 2 Ba 2.35
O: 0.0000 0.0000 0.2154  1 Cu 1.86
O: 0.5000 0.0000 0.0000  2 Mg 2.01
Ba: 0.0000 0.0000 0.5000  6 O 2.35-2.45
Mg: 0.5000 0.0000 0.2326  1 O 2.01
Mg: 0.0000 0.5000 0.7674  1 O 2.01
Mg: 0.0000 0.5000 0.2326  1 O 2.01
Mg: 0.5000 0.0000 0.7674  1 O 2.01
Mg: 0.5000 0.5000 0.5000  6 O 2.17-2.35
Mg: 0.5000 0.5000 0.0000  6 O 2.14-2.35
Cu: 0.0000 0.0000 0.0000  2 O 1.86



(2)
A plane-wave DFT calculation with PBE was carried out for a relaxed ZnHg2MoIr crystal.

Output
* VASP energy: -2.76 eV per atom
* formation enthalpy at 0 K: 1.552 eV/atom
* symmetry: P4/mmm

a b c (Å): 4.7379 4.7862 4.7379
angles (deg): 90.00 90.00 90.00
Last column: nearest neighbours and their distance in Å.
Positions (direct):
Hg: 0.5000 0.0000 0.0000  2 Zn 2.37
Hg: 0.0000 0.0000 0.5000  2 Zn 2.37
Mo: 0.0000 0.5000 0.0000  2 Zn 2.39
Ir: 0.5000 0.5000 0.5000  4 Mo 3.35, 8 Hg 3.37
Zn: 0.0000 0.0000 0.0000  4 Hg 2.37, 2 Mo 2.39



(3)
A plane-wave DFT calculation with PBE was carried out for a relaxed CoRe7 crystal.

Output
* VASP energy: -11.71 eV per atom
* formation enthalpy at 0 K: 0.067 eV/atom
* symmetry: Fm-3m

a b c (Å): 5.4787 5.4787 5.4787
angles (deg): 60.00 60.00 60.00
Last column: nearest neighbours and their distance in Å.
Positions (direct):
Re: 0.5000 0.5000 0.5000  12 Re 2.74
Re: 0.5000 0.5000 0.0000  10 Re 2.74, 2 Co 2.74
Re: 0.5000 0.0000 0.5000  10 Re 2.74, 2 Co 2.74
Re: 0.5000 0.0000 0.0000  10 Re 2.74, 2 Co 2.74
Re: 0.0000 0.0000 0.5000  10 Re 2.74, 2 Co 2.74
Re: 0.0000 0.5000 0.0000  10 Re 2.74, 2 Co 2.74
Re: 0.0000 0.5000 0.5000  10 Re 2.74, 2 Co 2.74
Co: 0.0000 0.0000 0.0000  12 Re 2.74



(4)
A plane-wave DFT calculation with PBE was carried out for a relaxed TmGa4CoRu2 crystal.

Output
* VASP energy: -5.67 eV per atom
* formation enthalpy at 0 K: -0.394 eV/atom
* symmetry: R-3m

a b c (Å): 4.2097 4.2097 8.5648
angles (deg): 75.77 75.77 60.00
Last column: nearest neighbours and their distance in Å.
Positions (direct):
Ru: 0.2390 0.2390 0.2830  7 Ga 2.52-2.61
Ru: 0.7610 0.7610 0.7170  7 Ga 2.52-2.61
Co: 0.5000 0.5000 0.5000  8 Ga 2.46-2.57
Ga: 0.8669 0.8669 0.3993  3 Co 2.57, 4 Ru 2.61
Ga: 0.1331 0.1331 0.6007  3 Co 2.57, 4 Ru 2.61
Ga: 0.4000 0.4000 0.7999  1 Co 2.46, 3 Ru 2.52
Ga: 0.6000 0.6000 0.2001  1 Co 2.46, 3 Ru 2.52
Tm: 0.0000 0.0000 0.0000  8 Ga 2.93-3.28